1.
MgBSeN2 | SCAN | single point on PBEsol structure

## Properties
The value obtained for the formation energy from raw total energies is 3.83 eV per formula unit. The density of states at the Fermi level is 2.82 states/eV/f.u. The value obtained for the calculated volume is 14.5 A^3/atom.

a = 3.2882 Å, b = 3.2882 Å, c = 6.6963 Å
α = 90.00°, β = 90.00°, γ = 90.00°
Fractional positions:
B 0.0000 0.0000 0.0000
Mg 0.5000 0.5000 0.5000
N 0.5000 0.0000 0.0000
N 0.0000 0.5000 0.0000
Se 0.0000 0.0000 0.5000

***

2.
MgBTe2N | SCAN | single point on PBEsol structure

## Properties
The value obtained for the formation energy from raw total energies is 7.33 eV per formula unit. The density of states at the Fermi level is 3.68 states/eV/f.u. The value obtained for the calculated volume is 22.1 A^3/atom.

a = 3.7192 Å, b = 5.4542 Å, c = 5.4542 Å
α = 90.00°, β = 90.00°, γ = 90.00°
Fractional positions:
B 0.5000 0.5000 0.5000
Mg 0.0000 0.0000 0.0000
Te 0.0000 0.0000 0.5000
Te 0.0000 0.5000 0.0000
N 0.5000 0.0000 0.0000

***

3.
Na2MgBOs | SCAN | single point on PBEsol structure

## Properties
The energy of formation is 664.5 meV/atom. The density of states at the Fermi level is 1.96 states/eV/f.u. The value obtained for the calculated volume is 18.7 A^3/atom.

a = 4.0501 Å, b = 4.8042 Å, c = 4.8042 Å
α = 90.00°, β = 90.00°, γ = 90.00°
Fractional positions:
Na 0.0000 0.5000 0.0000
Na 0.0000 0.0000 0.5000
B 0.0000 0.0000 0.0000
Mg 0.5000 0.5000 0.5000
Os 0.5000 0.0000 0.0000

***

4.
Mg5NbB3O12 | SCAN | single point on PBEsol structure

## Properties
The value obtained for the formation energy from raw total energies is -61.41 eV per formula unit. The density of states at the Fermi level is 0.00 states/eV/f.u. The value obtained for the calculated volume is 9.8 A^3/atom.

a = 9.3331 Å, b = 9.3888 Å, c = 9.4390 Å
α = 90.00°, β = 90.00°, γ = 90.00°
Fractional positions:
O 0.7508 0.7473 0.0837
O 0.5085 0.2428 0.9077
O 0.3973 0.4805 0.7500
O 0.7492 0.2473 0.0837
O 0.8717 0.4715 0.0892
O 0.4955 0.7647 0.7500
O 0.2492 0.2527 0.9163
O 0.9915 0.7428 0.9077
O 0.2508 0.7527 0.5837
O 0.6198 0.5104 0.5816
O 0.3717 0.0285 0.9108
O 0.9915 0.7428 0.5923
O 0.8973 0.0195 0.2500
O 0.7546 0.7352 0.7500
O 0.6283 0.9715 0.4108
O 0.5045 0.2353 0.2500
O 0.2454 0.2648 0.2500
O 0.1643 0.5377 0.2500
O 0.0085 0.2572 0.4077
O 0.8802 0.0104 0.9184
O 0.4915 0.7572 0.4077
O 0.2508 0.7527 0.9163
O 0.8717 0.4715 0.4108
O 0.1283 0.5285 0.9108
O 0.7454 0.2352 0.7500
O 0.0085 0.2572 0.0923
O 0.8357 0.4623 0.7500
O 0.7508 0.7473 0.4163
O 0.2546 0.7648 0.2500
O 0.1283 0.5285 0.5892
O 0.1027 0.9805 0.7500
O 0.3802 0.4896 0.0816
O 0.1198 0.9896 0.0816
O 0.5085 0.2428 0.5923
O 0.6283 0.9715 0.0892
O 0.6198 0.5104 0.9184
O 0.6027 0.5195 0.2500
O 0.1198 0.9896 0.4184
O 0.4915 0.7572 0.0923
O 0.3802 0.4896 0.4184
O 0.0045 0.2647 0.7500
O 0.2492 0.2527 0.5837
O 0.8802 0.0104 0.5816
O 0.3717 0.0285 0.5892
O 0.3357 0.0377 0.2500
O 0.9955 0.7353 0.2500
O 0.7492 0.2473 0.4163
O 0.6643 0.9623 0.7500
B 0.3745 0.1736 0.5892
B 0.3703 0.1801 0.2500
B 0.8745 0.3264 0.0892
B 0.1255 0.6736 0.5892
B 0.3745 0.1736 0.9108
B 0.8703 0.3199 0.7500
B 0.6255 0.8264 0.0892
B 0.8745 0.3264 0.4108
B 0.6297 0.8199 0.7500
B 0.6255 0.8264 0.4108
B 0.1255 0.6736 0.9108
B 0.1297 0.6801 0.2500
Mg 0.6785 0.0985 0.9251
Mg 0.1932 0.3982 0.7500
Mg 0.3215 0.9015 0.4251
Mg 0.3068 0.8982 0.7500
Mg 0.9277 0.8751 0.0846
Mg 0.5723 0.3751 0.4154
Mg 0.1785 0.4015 0.0749
Mg 0.9277 0.8751 0.4154
Mg 0.8215 0.5985 0.9251
Mg 0.0723 0.1249 0.5846
Mg 0.0723 0.1249 0.9154
Mg 0.4277 0.6249 0.9154
Mg 0.3215 0.9015 0.0749
Mg 0.6785 0.0985 0.5749
Mg 0.6932 0.1018 0.2500
Mg 0.4277 0.6249 0.5846
Mg 0.8215 0.5985 0.5749
Mg 0.5723 0.3751 0.0846
Mg 0.8068 0.6018 0.2500
Mg 0.1785 0.4015 0.4251
Nb 0.9094 0.9024 0.7500
Nb 0.4094 0.5976 0.2500
Nb 0.0906 0.0976 0.2500
Nb 0.5906 0.4024 0.7500